Al2AsAu | PBE | relaxed

It has space group Imm2 (No. 44), with a = 3.5009 Å, b = 3.6343 Å, c = 11.6876 Å, α = 90.00°, β = 90.00° and γ = 90.00°. The inequivalent atoms are Al at (0.0000, 0.0000, 0.0000), Al at (0.0000, 0.5000, 0.2463), As at (0.0000, 0.5000, 0.6705) and Au at (0.0000, 0.0000, 0.4192).

The magnetization is 0.000 μB per atom. The calculation puts the formation energy from the elements at -138 meV per atom.